Entry 1:
A plane-wave DFT calculation with GGA-PBEsol was carried out for a geometry-optimized As2PtSeF structure.

abc: 4.7953 4.7953 5.0093
angles: 90.00 90.00 90.00
Last column: nearest neighbours and their distance in Å.
Sites, in units of the cell vectors:
Se  0.0000  0.0000  0.5000  2 Pt 2.50
As  0.0000  0.5000  0.0000  2 Pt 2.40
As  0.5000  0.0000  0.0000  2 Pt 2.40
F  0.5000  0.5000  0.5000  4 Se 3.39, 8 As 3.47
Pt  0.0000  0.0000  0.0000  4 As 2.40, 2 Se 2.50

Values from the calculation:
The density of states at the Fermi level is 1.5549 states/eV per atom. The value obtained for the formation energy (no corrections) is 487 meV/atom.

***

Entry 2:
A plane-wave DFT calculation with GGA-PBEsol was carried out for a geometry-optimized BaSr2Ca structure.

abc: 4.5815 6.6234 7.7412
angles: 115.33 107.21 90.00
Last column: nearest neighbours and their distance in Å.
Sites, in units of the cell vectors:
Ba  0.5000  0.0000  0.0000  4 Ca 4.03, 4 Sr 4.12
Ca  0.0000  0.5000  0.0000  4 Sr 3.93, 4 Ba 4.03
Sr  0.7412  0.7412  0.4825  2 Ca 3.93, 4 Sr 4.03, 2 Ba 4.12
Sr  0.2588  0.2588  0.5175  2 Ca 3.93, 4 Sr 4.03, 2 Ba 4.12

Values from the calculation:
The density of states at the Fermi level is 1.2836 states/eV per atom. The value obtained for the formation energy is 1.9 kJ per mole of atoms.

***

Entry 3:
A plane-wave DFT calculation with GGA-PBEsol was carried out for a geometry-optimized AlSbP2 structure.

abc: 3.2887 3.2887 7.3793
angles: 90.00 90.00 111.63
Last column: nearest neighbours and their distance in Å.
Sites, in units of the cell vectors:
Sb  0.5000  0.5000  0.5000  4 P 2.81
P  0.0000  0.0000  0.7874  2 Al 2.42
P  0.0000  0.0000  0.2126  2 Al 2.42
Al  0.5000  0.5000  0.0000  4 P 2.42

Values from the calculation:
The density of states at the Fermi level is 0.4833 states/eV per atom. The value obtained for the formation energy (no corrections) is 252 meV/atom.

***

Entry 4:
A plane-wave DFT calculation with GGA-PBEsol was carried out for a geometry-optimized Mg2AgSe structure.

abc: 3.7497 3.7819 5.9589
angles: 108.50 90.02 90.00
Last column: nearest neighbours and their distance in Å.
Sites, in units of the cell vectors:
Mg  0.1250  0.0318  0.0637  4 Se 2.74, 1 Ag 2.81
Mg  0.6250  0.7146  0.4291  1 Se 2.73, 4 Ag 2.77
Ag  0.1250  0.2806  0.5612  5 Mg 2.77-2.81, 2 Se 2.87
Se  0.6250  0.4730  0.9460  5 Mg 2.73-2.74, 2 Ag 2.87

Values from the calculation:
The density of states at the Fermi level is 0.2086 states/eV per atom. The value obtained for the formation energy (no corrections) is -488 meV/atom.

***

Entry 5:
A plane-wave DFT calculation with GGA-PBEsol was carried out for a geometry-optimized BaTe2IrN structure.

abc: 4.1157 6.1033 6.1033
angles: 90.00 90.00 90.00
Last column: nearest neighbours and their distance in Å.
Sites, in units of the cell vectors:
Ir  0.5000  0.5000  0.5000  8 Te 3.68, 2 Ir 4.12
Te  0.0000  0.5000  0.0000  2 Ba 3.05
Te  0.0000  0.0000  0.5000  2 Ba 3.05
Ba  0.0000  0.0000  0.0000  2 N 2.06
N  0.5000  0.0000  0.0000  2 Ba 2.06

Values from the calculation:
The density of states at the Fermi level is 1.9169 states/eV per atom. The value obtained for the formation energy (no corrections) is 2082 meV/atom.

***

Entry 6:
A plane-wave DFT calculation with GGA-PBEsol was carried out for a geometry-optimized Ta2AgW structure.

abc: 2.7576 2.7576 9.2356
angles: 90.00 90.00 106.91
Last column: nearest neighbours and their distance in Å.
Sites, in units of the cell vectors:
Ag  0.5000  0.5000  0.2533  4 Ag 2.76, 2 W 2.83, 2 Ta 2.87
W  0.0000  0.0000  0.5026  4 W 2.76, 2 Ta 2.78, 2 Ag 2.83
Ta  0.5000  0.5000  0.7455  6 Ta 2.76-2.86, 2 W 2.78
Ta  0.0000  0.0000  0.9986  6 Ta 2.76-2.86, 2 Ag 2.87

Values from the calculation:
The density of states at the Fermi level is 0.5814 states/eV per atom. The value obtained for the formation energy is 17.4 kJ per mole of atoms.

***

Entry 7:
A plane-wave DFT calculation with GGA-PBEsol was carried out for a geometry-optimized PrMn4Cu3O12 structure.

abc: 6.2543 6.2543 6.2543
angles: 109.47 109.47 109.47
Last column: nearest neighbours and their distance in Å.
Sites, in units of the cell vectors:
Cu  0.5000  0.0000  0.5000  4 O 1.93
Cu  0.0000  0.5000  0.5000  4 O 1.93
Cu  0.5000  0.5000  0.0000  4 O 1.93
Mn  0.5000  0.0000  0.0000  6 O 1.91
Mn  0.5000  0.5000  0.5000  6 O 1.91
Mn  0.0000  0.0000  0.5000  6 O 1.91
Mn  0.0000  0.5000  0.0000  6 O 1.91
O  0.4820  0.3020  0.1800  2 Mn 1.91, 1 Cu 1.93
O  0.1221  0.3020  0.8200  2 Mn 1.91, 1 Cu 1.93
O  0.8200  0.5180  0.6980  2 Mn 1.91, 1 Cu 1.93
O  0.1800  0.4820  0.3020  2 Mn 1.91, 1 Cu 1.93
O  0.6980  0.1800  0.8779  2 Mn 1.91, 1 Cu 1.93
O  0.1800  0.8779  0.6980  2 Mn 1.91, 1 Cu 1.93
O  0.5180  0.6980  0.8200  2 Mn 1.91, 1 Cu 1.93
O  0.3020  0.8200  0.1221  2 Mn 1.91, 1 Cu 1.93
O  0.8200  0.1221  0.3020  2 Mn 1.91, 1 Cu 1.93
O  0.8779  0.6980  0.1800  2 Mn 1.91, 1 Cu 1.93
O  0.3020  0.1800  0.4820  2 Mn 1.91, 1 Cu 1.93
O  0.6980  0.8200  0.5180  2 Mn 1.91, 1 Cu 1.93
Pr  0.0000  0.0000  0.0000  12 O 2.54

Values from the calculation:
The density of states at the Fermi level is 0.2824 states/eV per atom. The value obtained for the formation energy (no corrections) is -1610 meV/atom.

***

Entry 8:
A plane-wave DFT calculation with GGA-PBEsol was carried out for a geometry-optimized Y2AlPt structure.

abc: 4.1864 4.1864 5.6321
angles: 111.82 111.82 90.00
Last column: nearest neighbours and their distance in Å.
Sites, in units of the cell vectors:
Y  0.7500  0.2500  0.5000  4 Pt 2.96, 4 Al 3.18, 4 Y 3.18
Y  0.0000  0.0000  0.0000  4 Al 2.96, 4 Pt 3.18, 4 Y 3.18
Al  0.5000  0.5000  0.0000  8 Y 2.96-3.18, 4 Pt 3.18
Pt  0.2500  0.7500  0.5000  8 Y 2.96-3.18, 4 Al 3.18

Values from the calculation:
The density of states at the Fermi level is 0.7775 states/eV per atom. The value obtained for the formation energy is -58.7 kJ per mole of atoms.

***

Entry 9:
A plane-wave DFT calculation with GGA-PBEsol was carried out for a geometry-optimized SbPb2Se structure.

abc: 3.6881 5.4283 6.2427
angles: 115.77 107.18 90.00
Last column: nearest neighbours and their distance in Å.
Sites, in units of the cell vectors:
Se  0.2451  0.7451  0.4902  2 Sb 3.03, 6 Pb 3.07-3.29
Sb  0.5191  0.5191  0.0383  2 Se 3.03, 6 Pb 3.31
Pb  0.7600  0.2600  0.5200  4 Se 3.29, 2 Sb 3.31, 4 Pb 3.54-3.55
Pb  0.9758  0.9758  0.9515  2 Se 3.07, 4 Sb 3.31

Values from the calculation:
The density of states at the Fermi level is 0.5028 states/eV per atom. The value obtained for the formation energy (no corrections) is -71 meV/atom.

***

Entry 10:
A plane-wave DFT calculation with GGA-PBEsol was carried out for a geometry-optimized NiTe2Cl structure.

abc: 4.9055 4.8885 4.8885
angles: 101.48 113.74 113.74
Last column: nearest neighbours and their distance in Å.
Sites, in units of the cell vectors:
Ni  0.5000  0.5000  0.5000  4 Te 2.68
Cl  0.5000  0.0000  0.0000  4 Te 2.68
Te  0.0000  0.5000  0.0000  2 Cl 2.68, 2 Ni 2.68
Te  0.0000  0.0000  0.5000  2 Ni 2.68, 2 Cl 2.68

Values from the calculation:
The density of states at the Fermi level is 0.8805 states/eV per atom. The value obtained for the formation energy (no corrections) is 184 meV/atom.

***

Entry 11:
A plane-wave DFT calculation with GGA-PBEsol was carried out for a geometry-optimized BeSi3Cl structure.

abc: 4.6000 4.6000 4.6000
angles: 90.00 90.00 90.00
Last column: nearest neighbours and their distance in Å.
Sites, in units of the cell vectors:
Si  0.5000  0.0000  0.0000  2 Cl 2.30
Si  0.0000  0.0000  0.5000  2 Cl 2.30
Si  0.0000  0.5000  0.0000  2 Cl 2.30
Be  0.5000  0.5000  0.5000  12 Si 3.25
Cl  0.0000  0.0000  0.0000  6 Si 2.30

Values from the calculation:
The density of states at the Fermi level is 0.3948 states/eV per atom. The value obtained for the formation energy (no corrections) is 1456 meV/atom.

***

Entry 12:
A plane-wave DFT calculation with GGA-PBEsol was carried out for a geometry-optimized PmNdGa2 structure.

abc: 5.1230 5.1230 5.1230
angles: 60.00 60.00 60.00
Last column: nearest neighbours and their distance in Å.
Sites, in units of the cell vectors:
Ga  0.2500  0.2500  0.2500  4 Nd 3.14, 4 Pm 3.14
Ga  0.7500  0.7500  0.7500  4 Pm 3.14, 4 Nd 3.14
Pm  0.0000  0.0000  0.0000  8 Ga 3.14
Nd  0.5000  0.5000  0.5000  8 Ga 3.14

Values from the calculation:
The density of states at the Fermi level is 0.4428 states/eV per atom. The value obtained for the formation energy is -56.6 kJ per mole of atoms.